# 1
Entry from Alexandria: a relaxed structure of Ba2Ge3Au9 (PBE).

Cell: 8.8939 8.8939 10.8892 Å, 92.20 106.17 127.74°
Fractional coordinates of all 28 atoms:
Ba1 0.3418 0.2428 0.7758
Ba2 0.6582 0.7572 0.2242
Ba3 0.9670 0.5660 0.7242
Ba4 0.0330 0.4340 0.2758
Ge1 0.5000 0.0000 0.0000
Ge2 0.5000 0.5000 0.5000
Ge3 0.8928 0.1874 0.5120
Ge4 0.1072 0.8126 0.4880
Ge5 0.1755 0.3809 0.9880
Ge6 0.8245 0.6191 0.0120
Au1 0.4449 0.9450 0.7181
Au2 0.5551 0.0550 0.2819
Au3 0.7269 0.7268 0.7819
Au4 0.2731 0.2732 0.2181
Au5 0.4354 0.6722 0.8930
Au6 0.5646 0.3278 0.1070
Au7 0.2792 0.5423 0.6070
Au8 0.7208 0.4577 0.3930
Au9 0.8858 0.1358 0.7500
Au10 0.1142 0.8642 0.2500
Au11 0.1412 0.9663 0.9934
Au12 0.8588 0.0337 0.0066
Au13 0.4729 0.1478 0.5066
Au14 0.5271 0.8522 0.4934
Au15 0.8714 0.8558 0.5629
Au16 0.1286 0.1442 0.4371
Au17 0.7930 0.3086 0.9371
Au18 0.2070 0.6914 0.0629

The formation enthalpy at 0 K is -0.31 eV/atom. The calculation puts the volume at 22.46 A^3/atom. As for the symmetry: C2/c. For the calculated density, the calculation gives 11.96 g/cm³. For the density of states at the Fermi level, the calculation gives 10.4 states/eV/cell. Its electronic total energy is -3.68 eV/atom.

---

# 2
Entry from Alexandria: a relaxed structure of TaAlCr (PBE).

Cell: 4.9505 4.9505 4.9505 Å, 142.07 142.07 54.72°
Fractional coordinates of all 3 atoms:
Cr1 0.3278 0.3278 0.0000
Al1 0.9915 0.9915 0.0000
Ta1 0.6809 0.6809 0.0000

The relative energy among the computed polymorphs is 0.1012 eV per atom. The formation enthalpy at 0 K is -0.09 eV/atom. The calculation puts the volume at 15.17 A^3/atom. As for the symmetry: I4mm. For the calculated density, the calculation gives 9.48 g/cm³. For the density of states at the Fermi level, the calculation gives 1.8 states/eV/cell. Its electronic total energy is -8.49 eV/atom.

---

# 3
Entry from Alexandria: a relaxed structure of Dy6Pd5Pt (PBE).

Cell: 4.9989 6.8881 8.6081 Å, 66.41 73.39 90.00°
Fractional coordinates of all 12 atoms:
Pt1 0.0000 0.0000 0.0000
Pd1 0.6690 0.1698 0.6604
Pd2 0.3349 0.3340 0.3320
Pd3 0.0000 0.5000 0.0000
Pd4 0.6651 0.6660 0.6680
Pd5 0.3310 0.8302 0.3396
Dy1 0.8347 0.5859 0.3310
Dy2 0.8347 0.0831 0.3310
Dy3 0.5000 0.7528 0.0000
Dy4 0.5000 0.2472 0.0000
Dy5 0.1653 0.9169 0.6690
Dy6 0.1653 0.4141 0.6690

The relative energy among the computed polymorphs is 0.0000 eV per atom. The formation enthalpy at 0 K is -0.95 eV/atom. The calculation puts the volume at 21.51 A^3/atom. As for the symmetry: C2/m. For the calculated density, the calculation gives 10.95 g/cm³. For the density of states at the Fermi level, the calculation gives 6.7 states/eV/cell. Its electronic total energy is -5.92 eV/atom.